No. 1
This record from the Alexandria database describes a geometry-optimized RbZnCdGa2 structure. The functional is PBEsol.

Calculated values
Formation energy from the elements   6.5 eV per formula unit
Space-group type   No. 123
Mass density   2.99 g/cm³
Raw total energy   -0.80 eV per atom
Size of the total moment   0.001 μB per atom

Cell: 5.9529 5.9529 6.3014 Å, 90.00 90.00 90.00°
Positions (direct):
Rb  0.0000  0.0000  0.0000
Zn  0.5000  0.5000  0.5000
Cd  0.0000  0.0000  0.5000
Ga  0.0000  0.5000  0.0000
Ga  0.5000  0.0000  0.0000

No. 2
This record from the Alexandria database describes a geometry-optimized CdGa3Re structure. The functional is PBEsol.

Calculated values
Formation energy from the elements   8.1 eV per formula unit
Space-group type   No. 221
Mass density   7.17 g/cm³
Raw total energy   -3.28 eV per atom
Size of the total moment   0.709 μB per atom

Cell: 4.8992 4.8992 4.8992 Å, 90.00 90.00 90.00°
Positions (direct):
Cd  0.0000  0.0000  0.0000
Ga  0.0000  0.0000  0.5000
Ga  0.0000  0.5000  0.0000
Ga  0.5000  0.0000  0.0000
Re  0.5000  0.5000  0.5000